Record 1
First-principles (GGA-PBE) data for an optimized crystal structure of AlGeSeN2, as listed in the Alexandria database.

Formation energy without anion corrections ... 0.91 eV/atom
Energy relative to the lowest polymorph listed for this composition ... 246 meV per atom
Volume ... 83.2 Å³/f.u.

Cell: 3.6720 3.6720 6.1713 Å, 90.00 90.00 90.00°
With the nearest neighbours (Å) after each atom.
Space group P4/mmm (No. 123)
Asymmetric unit:
Al 0.0000 0.0000 0.0000 [1 per cell]  4 Se 2.60
Ge 0.5000 0.5000 0.5000 [1 per cell]  4 N 1.84
Se 0.5000 0.5000 0.0000 [1 per cell]  4 Al 2.60
N 0.0000 0.5000 0.5000 [2 per cell]  2 Ge 1.84

Record 2
First-principles (GGA-PBE) data for an optimized crystal structure of AlGeSeN2, as listed in the Alexandria database.

Formation energy without anion corrections ... 0.67 eV/atom
Energy relative to the lowest polymorph listed for this composition ... 0 meV per atom
Volume ... 77.5 Å³/f.u.

Cell: 3.7537 3.7537 5.5035 Å, 90.00 90.00 90.00°
With the nearest neighbours (Å) after each atom.
Space group P4/mmm (No. 123)
Asymmetric unit:
Al 0.0000 0.0000 0.0000 [1 per cell]  4 N 1.88
Ge 0.5000 0.5000 0.5000 [1 per cell]  4 Se 2.65
Se 0.0000 0.0000 0.5000 [1 per cell]  4 Ge 2.65, 2 Al 2.75
N 0.0000 0.5000 0.0000 [2 per cell]  2 Al 1.88

Record 3
First-principles (GGA-PBE) data for an optimized crystal structure of AlGeSe2N, as listed in the Alexandria database.

Formation energy without anion corrections ... 0.58 eV/atom
Energy relative to the lowest polymorph listed for this composition ... 357 meV per atom
Volume ... 95.4 Å³/f.u.

Cell: 5.1655 5.1655 3.5767 Å, 90.00 90.00 90.00°
With the nearest neighbours (Å) after each atom.
Space group P4/mmm (No. 123)
Asymmetric unit:
Al 0.0000 0.0000 0.0000 [1 per cell]  8 Se 3.14
Ge 0.5000 0.5000 0.5000 [1 per cell]  2 N 1.79
Se 0.0000 0.5000 0.5000 [2 per cell]  2 Ge 2.58
N 0.5000 0.5000 0.0000 [1 per cell]  2 Ge 1.79

Record 4
First-principles (GGA-PBE) data for an optimized crystal structure of AlGeSe2N, as listed in the Alexandria database.

Formation energy without anion corrections ... 0.23 eV/atom
Energy relative to the lowest polymorph listed for this composition ... 0 meV per atom
Volume ... 94.7 Å³/f.u.

Cell: 5.1164 5.1164 3.6159 Å, 90.00 90.00 90.00°
With the nearest neighbours (Å) after each atom.
Space group P4/mmm (No. 123)
Asymmetric unit:
Al 0.0000 0.0000 0.0000 [1 per cell]  2 N 1.81
Ge 0.5000 0.5000 0.5000 [1 per cell]  8 Se 3.13
Se 0.0000 0.5000 0.0000 [2 per cell]  2 Al 2.56
N 0.0000 0.0000 0.5000 [1 per cell]  2 Al 1.81

Record 5
First-principles (GGA-PBE) data for an optimized crystal structure of TaAlGeN2, as listed in the Alexandria database.

Formation energy without anion corrections ... 0.41 eV/atom
Volume ... 87.4 Å³/f.u.

Cell: 3.9953 3.9953 5.4743 Å, 90.00 90.00 90.00°
With the nearest neighbours (Å) after each atom.
Space group P4/mmm (No. 123)
Asymmetric unit:
Ta 0.0000 0.0000 0.0000 [1 per cell]  4 N 2.00
Al 0.5000 0.5000 0.5000 [1 per cell]  4 Ge 2.83
Ge 0.0000 0.0000 0.5000 [1 per cell]  2 Ta 2.74, 4 Al 2.83
N 0.0000 0.5000 0.0000 [2 per cell]  2 Ta 2.00

Record 6
First-principles (GGA-PBE) data for an optimized crystal structure of AlGeTe2N, as listed in the Alexandria database.

Formation energy without anion corrections ... 0.63 eV/atom
Energy relative to the lowest polymorph listed for this composition ... 334 meV per atom
Volume ... 115.8 Å³/f.u.

Cell: 5.7400 5.7400 3.5147 Å, 90.00 90.00 90.00°
With the nearest neighbours (Å) after each atom.
Space group P4/mmm (No. 123)
Asymmetric unit:
Al 0.0000 0.0000 0.0000 [1 per cell]  8 Te 3.37, 2 Al 3.51
Ge 0.5000 0.5000 0.5000 [1 per cell]  2 N 1.76
Te 0.0000 0.5000 0.5000 [2 per cell]  2 Ge 2.87
N 0.5000 0.5000 0.0000 [1 per cell]  2 Ge 1.76

Record 7
First-principles (GGA-PBE) data for an optimized crystal structure of AlGeTe2N, as listed in the Alexandria database.

Formation energy without anion corrections ... 0.30 eV/atom
Energy relative to the lowest polymorph listed for this composition ... 0 meV per atom
Volume ... 113.4 Å³/f.u.

Cell: 5.7231 5.7231 3.4627 Å, 90.00 90.00 90.00°
With the nearest neighbours (Å) after each atom.
Space group P4/mmm (No. 123)
Asymmetric unit:
Al 0.0000 0.0000 0.0000 [1 per cell]  2 N 1.73
Ge 0.5000 0.5000 0.5000 [1 per cell]  8 Te 3.34, 2 Ge 3.46
Te 0.0000 0.5000 0.0000 [2 per cell]  2 Al 2.86
N 0.0000 0.0000 0.5000 [1 per cell]  2 Al 1.73

Record 8
First-principles (GGA-PBE) data for an optimized crystal structure of TiAl2GeN, as listed in the Alexandria database.

Formation energy without anion corrections ... 0.57 eV/atom
Volume ... 101.2 Å³/f.u.

Cell: 5.1892 5.1892 3.7570 Å, 90.00 90.00 90.00°
With the nearest neighbours (Å) after each atom.
Space group P4/mmm (No. 123)
Asymmetric unit:
Ti 0.0000 0.0000 0.0000 [1 per cell]  2 N 1.88
Al 0.0000 0.5000 0.0000 [2 per cell]  2 Ti 2.59
Ge 0.5000 0.5000 0.5000 [1 per cell]  8 Al 3.20
N 0.0000 0.0000 0.5000 [1 per cell]  2 Ti 1.88

Record 9
First-principles (GGA-PBE) data for an optimized crystal structure of YAl2GeN, as listed in the Alexandria database.

Formation energy without anion corrections ... -0.47 eV/atom
Volume ... 82.4 Å³/f.u.

Cell: 4.0850 4.0850 4.9381 Å, 90.00 90.00 90.00°
With the nearest neighbours (Å) after each atom.
Space group P4/mmm (No. 123)
Asymmetric unit:
Y 0.0000 0.0000 0.0000 [1 per cell]  2 N 2.47
Al 0.0000 0.5000 0.5000 [2 per cell]  2 N 2.04
Ge 0.5000 0.5000 0.0000 [1 per cell]  4 Y 2.89, 8 Al 3.20
N 0.0000 0.0000 0.5000 [1 per cell]  4 Al 2.04

Record 10
First-principles (GGA-PBE) data for an optimized crystal structure of Al2ZnGeN4, as listed in the Alexandria database.

Formation energy without anion corrections ... -0.80 eV/atom
Volume ... 89.2 Å³/f.u.

Cell: 4.4990 4.4990 8.8156 Å, 90.00 90.00 90.00°
With the nearest neighbours (Å) after each atom.
Space group I-42m (No. 121)
Asymmetric unit:
Al 0.0000 0.5000 0.2500 [4 per cell]  4 N 1.91
Zn 0.0000 0.0000 0.0000 [2 per cell]  4 N 2.05
Ge 0.0000 0.0000 0.5000 [2 per cell]  4 N 1.88
N 0.2332 0.2332 0.3688 [8 per cell]  1 Ge 1.88, 2 Al 1.91, 1 Zn 2.05

Record 11
First-principles (GGA-PBE) data for an optimized crystal structure of NaAlGe, as listed in the Alexandria database.

Calculated formation energy ... 0.691 eV/atom
Volume ... 119.1 Å³/f.u.

Cell: 5.4585 5.4585 9.2299 Å, 90.00 90.00 120.00°
With the nearest neighbours (Å) after each atom.
Space group P6_3/mmc (No. 194)
Asymmetric unit:
Na 0.3333 0.6667 0.2500 [2 per cell]  3 Al 3.15
Al 0.0000 0.0000 0.2500 [2 per cell]  2 Ge 2.31
Ge 0.0000 0.0000 0.0000 [2 per cell]  2 Al 2.31

Record 12
First-principles (GGA-PBE) data for an optimized crystal structure of NaAlGe, as listed in the Alexandria database.

Calculated formation energy ... -0.018 eV/atom
Volume ... 78.8 Å³/f.u.

Cell: 4.2649 5.6251 6.5687 Å, 90.00 90.00 90.00°
With the nearest neighbours (Å) after each atom.
Space group Pmn2_1 (No. 31)
Asymmetric unit:
Na 0.0000 0.1277 0.0000 [2 per cell]  4 Ge 2.98-3.29, 2 Al 3.29
Al 0.0000 0.4278 0.4696 [2 per cell]  3 Ge 2.47-2.49
Ge 0.0000 0.6589 0.7896 [2 per cell]  3 Al 2.47-2.49

Q: Among the records above, which one has the highest volume?
A: number 11